(1)
PBE YBeReW, relaxed; E_tot = -7.9378 eV/atom
1.0
0.0000 3.1823 3.1823
3.1823 0.0000 3.1823
3.1823 3.1823 0.0000
Be Re W Y
1 1 1 1
direct
0.7500 0.7500 0.7500
0.0000 0.0000 0.0000
0.5000 0.5000 0.5000
0.2500 0.2500 0.2500

---

(2)
PBE NaDyPO, relaxed; E_tot = -5.5807 eV/atom
1.0
4.9007 0.0000 0.0000
0.0000 6.6998 0.0000
0.0000 0.0000 4.5831
Dy Na O P
2 2 2 2
direct
0.0000 0.7009 0.4386
0.0000 0.2991 0.9386
0.5000 0.3296 0.4380
0.5000 0.6704 0.9380
0.0000 0.3735 0.4394
0.0000 0.6265 0.9394
0.5000 0.9194 0.4380
0.5000 0.0806 0.9380

---

(3)
PBE Nb4Mo2P3C3, relaxed; E_tot = -9.3947 eV/atom
1.0
4.8865 -2.8233 0.0000
4.8865 2.8233 0.0000
-3.2510 0.0000 11.6777
C Mo Nb P
6 4 8 6
direct
0.6689 0.1613 0.0000
0.0000 0.5000 0.0000
0.3311 0.8387 0.0000
0.8387 0.3311 0.5000
0.5000 0.0000 0.5000
0.1613 0.6689 0.5000
0.3650 0.5303 0.0904
0.4697 0.6350 0.4096
0.5303 0.3650 0.5904
0.6350 0.4697 0.9096
0.7017 0.8651 0.1023
0.0322 0.2027 0.1023
0.7973 0.9678 0.3977
0.1349 0.2983 0.3977
0.8651 0.7017 0.6023
0.2027 0.0322 0.6023
0.9678 0.7973 0.8977
0.2983 0.1349 0.8977
0.7296 0.5831 0.2498
0.1040 0.8960 0.2500
0.4169 0.2704 0.2502
0.5831 0.7296 0.7498
0.8960 0.1040 0.7500
0.2704 0.4169 0.7502

---

(4)
PBE Si2SnAu, relaxed; E_tot = -4.0846 eV/atom
1.0
-3.7478 -2.1726 2.0303
-1.5733 1.4463 4.2803
-4.1850 2.2897 0.3617
Au Si Sn
1 2 1
direct
0.5000 0.5000 0.5000
0.0000 0.0000 0.0000
0.2500 0.2500 0.2500
0.7500 0.7500 0.7500

---

(5)
PBE LiNiBMo, relaxed; E_tot = -5.9763 eV/atom
1.0
3.7276 -0.8211 0.6826
1.4967 0.5742 3.5306
0.9412 -3.0339 2.2236
B Li Mo Ni
1 1 1 1
direct
0.0000 0.0000 0.0000
0.5000 0.5000 0.5000
0.2500 0.2500 0.2500
0.7500 0.7500 0.7500

---

(6)
PBE SrAgIr2, relaxed; E_tot = -5.0606 eV/atom
1.0
0.0000 3.3679 3.3679
3.3679 0.0000 3.3679
3.3679 3.3679 0.0000
Ag Ir Sr
1 2 1
direct
0.5000 0.5000 0.5000
0.0000 0.0000 0.0000
0.2500 0.2500 0.2500
0.7500 0.7500 0.7500

---

(7)
PBE AgI2, relaxed; E_tot = -2.0277 eV/atom
1.0
2.1523 1.2427 18.3528
-2.1523 1.2427 18.3528
0.0000 -2.4853 18.3528
Ag I
3 6
direct
0.0000 0.0000 0.0000
0.4447 0.4447 0.4447
0.5553 0.5553 0.5553
0.1406 0.1406 0.1406
0.2521 0.2521 0.2521
0.3627 0.3627 0.3627
0.6373 0.6373 0.6373
0.7479 0.7479 0.7479
0.8594 0.8594 0.8594

---

(8)
PBE Er12Ni6Sn, relaxed; E_tot = -5.2783 eV/atom
1.0
-4.7976 4.7976 4.7976
4.7976 -4.7976 4.7976
4.7976 4.7976 -4.7976
Er Ni Sn
12 6 1
direct
0.3031 0.8122 0.1154
0.4909 0.3031 0.1878
0.8846 0.6969 0.1878
0.1878 0.4909 0.3031
0.8122 0.1154 0.3031
0.3031 0.1878 0.4909
0.6969 0.8122 0.5091
0.8122 0.5091 0.6969
0.1878 0.8846 0.6969
0.1154 0.3031 0.8122
0.5091 0.6969 0.8122
0.6969 0.1878 0.8846
0.5000 0.6241 0.1241
0.8759 0.5000 0.3759
0.6241 0.1241 0.5000
0.3759 0.8759 0.5000
0.1241 0.5000 0.6241
0.5000 0.3759 0.8759
0.0000 0.0000 0.0000

---

(9)
PBE HfTlSb, relaxed; E_tot = -5.0569 eV/atom
1.0
-4.5937 1.5661 1.0565
-2.2451 3.2918 -2.9656
-3.8213 -1.4168 -2.8393
Hf Sb Tl
1 1 1
direct
0.5000 0.5000 0.5000
0.2500 0.2500 0.2500
0.0000 0.0000 0.0000

---

(10)
PBE UGaCo, relaxed; E_tot = -7.4626 eV/atom
1.0
6.5782 0.0000 0.0000
-3.2891 5.6968 0.0000
0.0000 0.0000 3.9698
Co Ga U
3 3 3
direct
0.6667 0.3333 0.0000
0.3333 0.6667 0.0000
0.0000 0.0000 0.5000
0.2372 0.0000 0.0000
0.0000 0.2372 0.0000
0.7628 0.7628 0.0000
0.5758 0.0000 0.5000
0.4242 0.4242 0.5000
0.0000 0.5758 0.5000

---

(11)
PBE ErCdNO, relaxed; E_tot = -6.0988 eV/atom
1.0
-1.5785 3.0963 -1.1778
-3.9287 -0.3358 4.3825
3.8036 3.3332 3.6651
Cd Er N O
2 2 2 2
direct
0.0000 0.5069 0.3493
0.0000 0.0069 0.6507
0.5000 0.0010 0.1712
0.5000 0.5010 0.8288
0.0000 0.8780 0.3201
0.0000 0.3780 0.6799
0.5000 0.3682 0.1503
0.5000 0.8682 0.8497

---

(12)
PBE CoAgBr6, relaxed; E_tot = -2.6148 eV/atom
1.0
6.3912 0.0000 0.0000
3.1120 5.6587 0.0000
0.1352 3.4504 5.7500
Ag Br Co
1 6 1
direct
0.0000 0.0000 0.0000
0.1085 0.1736 0.2625
0.7260 0.8327 0.2632
0.4545 0.4396 0.2702
0.5455 0.5604 0.7298
0.2740 0.1673 0.7368
0.8915 0.8264 0.7375
0.5000 0.0000 0.5000